A plane-wave DFT calculation with PBE was carried out for a relaxed Tm4GeSb2 crystal.

Calculated values
Raw total energy: -5.054 eV/atom
Calculated density: 8.7 Mg/m³
Total magnetic moment: 0.0 μB/f.u.
Formation energy (no corrections): -0.661 eV per atom

Geometry as CIF:
```
data_Tm4GeSb2
_chemical_formula_sum 'Tm8 Ge2 Sb4'
_cell_length_a 6.4942
_cell_length_b 6.4464
_cell_length_c 9.4262
_cell_angle_alpha 90.00
_cell_angle_beta 106.69
_cell_angle_gamma 90.00
_space_group_name_H-M_alt 'P 1'
_space_group_IT_number 1
loop_
_space_group_symop_operation_xyz
'x,y,z'
loop_
_atom_site_label
_atom_site_fract_x
_atom_site_fract_y
_atom_site_fract_z
_atom_site_occupancy
Tm1 0.0138 0.0021 0.2596 1
Tm2 0.0138 0.4979 0.2596 1
Tm3 0.3653 0.7500 0.0421 1
Tm4 0.4427 0.7500 0.6502 1
Tm5 0.5573 0.2500 0.3498 1
Tm6 0.6347 0.2500 0.9579 1
Tm7 0.9862 0.5021 0.7404 1
Tm8 0.9862 0.9979 0.7404 1
Ge1 0.3747 0.7500 0.3392 1
Ge2 0.6253 0.2500 0.6608 1
Sb1 0.1927 0.2500 0.5447 1
Sb2 0.2006 0.2500 0.0338 1
Sb3 0.7994 0.7500 0.9662 1
Sb4 0.8073 0.7500 0.4553 1
```